1.
First-principles (PBE-GGA) data for crystalline Pm5Pr2Hg at its relaxed geometry, as listed in Alexandria.

Output
Its formation energy is 437 meV/atom.

a = 7.566 Å, b = 7.566 Å, c = 5.619 Å
α = 90.00°, β = 90.00°, γ = 90.00°
Sites, in units of the cell vectors:
Pm: 0.000 0.000 0.000
Pm: 0.275 0.275 0.500
Pm: 0.275 0.725 0.500
Pm: 0.725 0.275 0.500
Pm: 0.725 0.725 0.500
Pr: 0.000 0.500 0.000
Pr: 0.500 0.000 0.000
Hg: 0.000 0.000 0.500


2.
First-principles (PBE-GGA) data for crystalline PmEr3Pt at its relaxed geometry, as listed in Alexandria.

Output
Its formation energy is -439 meV/atom. The energy above the lowest structure with this stoichiometry comes out at 0 meV/atom.

a = 7.574 Å, b = 6.708 Å, c = 6.065 Å
α = 90.00°, β = 90.00°, γ = 90.00°
Sites, in units of the cell vectors:
Pm: 0.000 0.140 0.000
Pm: 0.500 0.860 0.500
Er: 0.000 0.849 0.486
Er: 0.244 0.304 0.498
Er: 0.256 0.696 0.998
Er: 0.500 0.151 0.986
Er: 0.744 0.696 0.998
Er: 0.756 0.304 0.498
Pt: 0.000 0.511 0.749
Pt: 0.500 0.489 0.249


3.
First-principles (PBE-GGA) data for crystalline MnCdCu2H at its relaxed geometry, as listed in Alexandria.

Output
The raw total energy comes out at -4.163 eV/atom.

a = 4.141 Å, b = 4.141 Å, c = 3.553 Å
α = 90.00°, β = 90.00°, γ = 90.00°
Sites, in units of the cell vectors:
Mn: 0.000 0.000 0.000
Cd: 0.500 0.500 0.000
Cu: 0.000 0.500 0.500
Cu: 0.500 0.000 0.500
H: 0.000 0.000 0.500


4.
First-principles (PBE-GGA) data for crystalline ScAu2F2 at its relaxed geometry, as listed in Alexandria.

Output
Its formation energy from raw total energies is -0.969 eV/atom. The energy above the lowest structure with this stoichiometry comes out at 0 meV/atom.

a = 6.516 Å, b = 6.516 Å, c = 6.516 Å
α = 147.27°, β = 147.27°, γ = 46.96°
Sites, in units of the cell vectors:
Sc: 0.000 0.000 0.000
Au: 0.383 0.383 0.000
Au: 0.617 0.617 0.000
F: 0.250 0.750 0.500
F: 0.750 0.250 0.500


5.
First-principles (PBE-GGA) data for crystalline As2PPtC at its relaxed geometry, as listed in Alexandria.

Output
Its formation energy is 1082 meV/atom.

a = 5.108 Å, b = 5.108 Å, c = 3.741 Å
α = 90.00°, β = 90.00°, γ = 90.00°
Sites, in units of the cell vectors:
As: 0.000 0.500 0.000
As: 0.500 0.000 0.000
P: 0.000 0.000 0.500
Pt: 0.500 0.500 0.000
C: 0.500 0.500 0.500


6.
First-principles (PBE-GGA) data for crystalline K2CuW at its relaxed geometry, as listed in Alexandria.

Output
Its formation energy is 1038 meV/atom. The energy above the lowest structure with this stoichiometry comes out at 79 meV/atom.

a = 10.421 Å, b = 10.421 Å, c = 4.358 Å
α = 101.80°, β = 101.80°, γ = 15.50°
Sites, in units of the cell vectors:
K: 0.145 0.145 0.145
K: 0.855 0.855 0.855
Cu: 0.500 0.500 0.000
W: 0.000 0.000 0.500


7.
First-principles (PBE-GGA) data for crystalline CeCdHg3 at its relaxed geometry, as listed in Alexandria.

Output
Its formation energy is -83 meV/atom. The energy above the lowest structure with this stoichiometry comes out at 109 meV/atom.

a = 11.767 Å, b = 11.767 Å, c = 5.128 Å
α = 102.36°, β = 102.36°, γ = 23.77°
Sites, in units of the cell vectors:
Ce: 0.117 0.117 0.369
Ce: 0.883 0.883 0.631
Cd: 0.382 0.382 0.132
Cd: 0.618 0.618 0.868
Hg: 0.203 0.203 0.953
Hg: 0.291 0.291 0.541
Hg: 0.474 0.474 0.724
Hg: 0.526 0.526 0.276
Hg: 0.709 0.709 0.459
Hg: 0.797 0.797 0.047


8.
First-principles (PBE-GGA) data for crystalline ZrGaGe2O at its relaxed geometry, as listed in Alexandria.

Output
Its formation energy from raw total energies is 0.807 eV/atom.

a = 4.572 Å, b = 4.572 Å, c = 5.276 Å
α = 90.00°, β = 90.00°, γ = 90.00°
Sites, in units of the cell vectors:
Zr: 0.000 0.000 0.000
Ga: 0.000 0.000 0.500
Ge: 0.000 0.500 0.500
Ge: 0.500 0.000 0.500
O: 0.500 0.500 0.000